Entry from the Alexandria database: crystalline CuHg2Te at its relaxed geometry (PBE).

Calculated values
The energy relative to the elements, uncorrected is 213.3 meV per atom. The calculation puts the magnetic moment at 0.000 μB/f.u.

Lattice parameters (Å, degrees): 4.450 4.489 9.496 90.00 90.00 90.00
Space group Cmmm (No. 65)
One atom of each set of equivalent atoms:
Cu1 0.000 0.000 0.000 x2
Hg1 0.000 0.500 0.185 x4
Te1 0.000 0.000 0.500 x2